No. 1
DFT (GGA-PBE) results for an optimized crystal structure of CsKCo2Tc.

Results
- Formation energy from the elements: 12.264 eV per formula unit
- Calculated volume: 131 Å³/f.u.
- M_tot: 0.94 μB/atom
- VASP energy: -2.853 eV/atom

a = 5.009 Å, b = 5.009 Å, c = 5.239 Å
α = 90.00°, β = 90.00°, γ = 90.00°
Space group P4/mmm (No. 123)
Asymmetric unit:
Cs 0.000 0.000 0.000 x1
K 0.500 0.500 0.500 x1
Co 0.000 0.500 0.000 x2
Tc 0.000 0.000 0.500 x1


No. 2
DFT (GGA-PBE) results for an optimized crystal structure of CsLa2Co.

Results
- Formation energy from the elements: 0.258 eV per formula unit
- Calculated volume: 168 Å³/f.u.
- M_tot: 0.00 μB/atom
- VASP energy: -4.389 eV/atom

a = 4.1464 Å, b = 4.1464 Å, c = 33.8468 Å
α = 90.00°, β = 90.00°, γ = 120.00°
Space group R-3m (No. 166, hexagonal axes)
Asymmetric unit:
Cs 0.0000 0.0000 0.0000 x3
La 0.0000 0.0000 0.1240 x6
Co 0.0000 0.0000 0.5000 x3


No. 3
DFT (GGA-PBE) results for an optimized crystal structure of CsLa3Co.

Results
- Formation energy from the elements: 7.584 eV per formula unit
- Calculated volume: 200 Å³/f.u.
- M_tot: 0.33 μB/atom
- VASP energy: -3.032 eV/atom

a = 5.852 Å, b = 5.852 Å, c = 5.852 Å
α = 90.00°, β = 90.00°, γ = 90.00°
Space group Pm-3m (No. 221)
Asymmetric unit:
Cs 0.000 0.000 0.000 x1
La 0.000 0.000 0.500 x3
Co 0.500 0.500 0.500 x1


No. 4
DFT (GGA-PBE) results for an optimized crystal structure of CsLa3Co.

Results
- Formation energy from the elements: 1.125 eV per formula unit
- Calculated volume: 187 Å³/f.u.
- M_tot: 0.00 μB/atom
- VASP energy: -4.323 eV/atom

a = 5.719 Å, b = 5.719 Å, c = 5.719 Å
α = 90.00°, β = 90.00°, γ = 90.00°
Space group Pm-3m (No. 221)
Asymmetric unit:
Cs 0.000 0.000 0.000 x1
La 0.000 0.500 0.500 x3
Co 0.500 0.500 0.500 x1


No. 5
DFT (GGA-PBE) results for an optimized crystal structure of CsLaCo2.

Results
- Formation energy from the elements: 4.022 eV per formula unit
- Calculated volume: 99 Å³/f.u.
- M_tot: 0.54 μB/atom
- VASP energy: -3.993 eV/atom

a = 7.339 Å, b = 7.339 Å, c = 7.339 Å
α = 90.00°, β = 90.00°, γ = 90.00°
Space group Fm-3m (No. 225)
Asymmetric unit:
Cs 0.000 0.000 0.000 x4
La 0.000 0.000 0.500 x4
Co 0.250 0.250 0.250 x8